(1)
Compound: KRbNa2Ag
Source: Alexandria
Functional: GGA-PBE
Structure: relaxed

Computed properties:
As for the size of the total moment: 0.00 μB/f.u. Its formation energy is 0.078 eV/atom. The density comes out at 1.87 g cm⁻³. As for the offset from the most stable computed form: 21.4 meV per atom. The value obtained for the calculated volume is 49.56 A^3/atom.

Unit cell a=6.065 b=6.065 c=6.737 alpha=90.00 beta=90.00 gamma=90.00
Space group P4/mmm (No. 123)
Inequivalent atoms, fractional coordinates:
K  0.000  0.000  0.000 [1 per cell]
Rb  0.500  0.500  0.000 [1 per cell]
Na  0.000  0.500  0.500 [2 per cell]
Ag  0.500  0.500  0.500 [1 per cell]

=====

(2)
Compound: KRbNa2Ag
Source: Alexandria
Functional: GGA-PBE
Structure: relaxed

Computed properties:
As for the size of the total moment: 0.00 μB/f.u. Its formation energy is 0.057 eV/atom. The density comes out at 1.92 g cm⁻³. As for the offset from the most stable computed form: 0.0 meV per atom. The value obtained for the calculated volume is 48.23 A^3/atom.

Unit cell a=6.077 b=6.077 c=6.530 alpha=90.00 beta=90.00 gamma=90.00
Space group P4/mmm (No. 123)
Inequivalent atoms, fractional coordinates:
K  0.000  0.000  0.000 [1 per cell]
Rb  0.500  0.500  0.000 [1 per cell]
Na  0.000  0.500  0.500 [2 per cell]
Ag  0.000  0.000  0.500 [1 per cell]

=====

(3)
Compound: K2RbNaAg
Source: Alexandria
Functional: GGA-PBE
Structure: relaxed

Computed properties:
As for the size of the total moment: 0.00 μB/f.u. Its formation energy is 0.051 eV/atom. The density comes out at 1.77 g cm⁻³. As for the offset from the most stable computed form: 0.0 meV per atom. The value obtained for the calculated volume is 55.18 A^3/atom.

Unit cell a=6.733 b=6.733 c=6.086 alpha=90.00 beta=90.00 gamma=90.00
Space group P4/mmm (No. 123)
Inequivalent atoms, fractional coordinates:
K  0.000  0.500  0.000 [2 per cell]
Rb  0.000  0.000  0.500 [1 per cell]
Na  0.500  0.500  0.500 [1 per cell]
Ag  0.500  0.500  0.000 [1 per cell]

=====

(4)
Compound: KNa2ReAg
Source: Alexandria
Functional: GGA-PBE
Structure: relaxed

Computed properties:
As for the size of the total moment: 4.03 μB/f.u. Its formation energy is 1.801 eV/atom. The density comes out at 3.78 g cm⁻³. The value obtained for the calculated volume is 33.28 A^3/atom.

Unit cell a=5.512 b=5.512 c=5.478 alpha=90.00 beta=90.00 gamma=90.00
Space group P4/mmm (No. 123)
Inequivalent atoms, fractional coordinates:
K  0.000  0.000  0.000 [1 per cell]
Na  0.000  0.500  0.000 [2 per cell]
Re  0.500  0.500  0.500 [1 per cell]
Ag  0.000  0.000  0.500 [1 per cell]